Co3OsRu: relaxed, PBE-GGA.

Cell lengths 4.3178, 4.3178, 4.3178 Å; angles 90.00, 90.00, 90.00 degrees
Element x y z (fractional)
Co (0.5000, 0.0000, 0.0000)
Co (0.0000, 0.5000, 0.0000)
Co (0.0000, 0.0000, 0.5000)
Os (0.5000, 0.5000, 0.5000)
Ru (0.0000, 0.0000, 0.0000)

Output
- symmetry = Pm-3m (221)
- distance to the lowest polymorph of the same formula (meV per atom) = 185
- formation energy from the elements (meV per atom) = 1963
- calculated volume (Å³ per cell) = 80